A relaxed RbMgBPt2 crystal, computed with PBE-GGA.

```
RbMgBPt2
1.0
-4.3667 1.9662 -0.3249
-2.4080 -5.1527 1.1807
0.1115 1.0223 4.6885
B Rb Mg Pt
1 1 1 2
direct
0.5000 0.5000 0.5000
0.0000 0.5000 0.0000
0.0000 0.0000 0.0000
0.5000 0.0000 0.0000
0.0000 0.0000 0.5000
```

Values from the calculation:
DFT total energy ... -2.81 eV per atom
Total magnetic moment ... 0.00 Bohr magnetons per cell
ΔE_f ... 1.450 eV/atom